Entry from the Alexandria database: a geometry-optimized PmFe2TeO6 structure (GGA+U).

Output
Size of the total moment in μB/cell: 14.861
E_tot in eV per cell: -131.3
Density in g/cm3: 6.1

```
PmFe2TeO6
1.0
5.646 0.000 -0.010
0.000 5.685 0.000
0.036 0.000 8.125
Pm Fe Te O
2 4 2 12
direct
0.500 0.000 0.000 Pm
0.000 0.500 0.500 Pm
0.985 0.975 0.273 Fe
0.485 0.525 0.773 Fe
0.015 0.025 0.727 Fe
0.515 0.475 0.227 Fe
0.500 0.000 0.500 Te
0.000 0.500 0.000 Te
0.322 0.647 0.045 O
0.822 0.853 0.545 O
0.678 0.353 0.955 O
0.178 0.147 0.455 O
0.355 0.693 0.399 O
0.855 0.807 0.899 O
0.645 0.307 0.601 O
0.145 0.193 0.101 O
0.867 0.624 0.229 O
0.367 0.876 0.729 O
0.133 0.376 0.771 O
0.633 0.124 0.271 O
```